No. 1
Ti3Fe2CuP6O24 | PBE with a Hubbard U | optimized geometry

Summary:
- final energy (Ry per atom) = -0.5547
- Fermi-level density of states (states/eV/cell) = 6.9
- M_tot (μB/cell) = 9.00

```
Ti3Fe2CuP6O24
1.0
-2.118 -8.114 -1.567
5.867 -6.088 1.139
-0.860 -5.380 6.565
O Ti P Fe Cu
24 3 6 2 1
direct
0.446 0.241 0.587
0.188 0.390 0.979
0.889 0.666 0.520
0.904 0.269 0.045
0.409 0.573 0.758
0.758 0.409 0.573
0.947 0.088 0.740
0.740 0.947 0.088
0.623 0.000 0.812
0.979 0.188 0.390
0.241 0.587 0.446
0.666 0.520 0.889
0.088 0.740 0.947
0.520 0.889 0.666
0.045 0.904 0.269
0.493 0.120 0.313
0.587 0.446 0.241
0.269 0.045 0.904
0.812 0.623 0.000
0.313 0.493 0.120
0.390 0.979 0.188
0.573 0.758 0.409
0.120 0.313 0.493
0.000 0.812 0.623
0.645 0.645 0.645
0.354 0.354 0.354
0.858 0.858 0.858
0.542 0.954 0.247
0.954 0.247 0.542
0.045 0.748 0.459
0.748 0.459 0.045
0.247 0.542 0.954
0.459 0.045 0.748
0.004 0.004 0.004
0.501 0.501 0.501
0.144 0.144 0.144
```



No. 2
TiFe3Cu2P6O24 | PBE with a Hubbard U | optimized geometry

Summary:
- final energy (Ry per atom) = -0.5114
- Fermi-level density of states (states/eV/cell) = 11.4
- M_tot (μB/cell) = 10.62

```
TiFe3Cu2P6O24
1.0
8.496 -0.012 -0.009
4.162 7.407 -0.009
4.162 2.431 6.997
O P Fe Cu Ti
24 6 3 2 1
direct
0.757 0.558 0.411
0.183 0.995 0.384
0.411 0.757 0.558
0.941 0.739 0.087
0.995 0.384 0.183
0.087 0.941 0.739
0.588 0.242 0.450
0.994 0.617 0.820
0.066 0.256 0.911
0.685 0.890 0.492
0.256 0.911 0.066
0.384 0.183 0.995
0.503 0.318 0.111
0.820 0.994 0.617
0.911 0.066 0.256
0.558 0.411 0.757
0.739 0.087 0.941
0.492 0.685 0.890
0.617 0.820 0.994
0.890 0.492 0.685
0.242 0.450 0.588
0.111 0.503 0.318
0.318 0.111 0.503
0.450 0.588 0.242
0.751 0.046 0.454
0.454 0.751 0.046
0.539 0.251 0.957
0.046 0.454 0.751
0.957 0.539 0.251
0.251 0.957 0.539
0.645 0.645 0.645
0.142 0.142 0.142
0.357 0.357 0.357
0.001 0.001 0.001
0.501 0.501 0.501
0.857 0.857 0.857
```



No. 3
PaFeCuO5 | PBE with a Hubbard U | optimized geometry

Summary:
- final energy (Ry per atom) = -0.5454
- Fermi-level density of states (states/eV/cell) = 0.6
- M_tot (μB/cell) = 7.98

```
PaFeCuO5
1.0
-1.810 4.269 3.202
-3.303 -4.459 0.983
6.696 -1.978 3.276
O Cu Fe Pa
10 2 2 2
direct
0.348 0.017 0.717
0.017 0.348 0.217
0.631 0.679 0.923
0.137 0.863 0.250
0.679 0.631 0.423
0.983 0.652 0.783
0.863 0.137 0.750
0.321 0.369 0.577
0.652 0.983 0.283
0.369 0.321 0.077
0.314 0.686 0.750
0.686 0.314 0.250
0.361 0.639 0.250
0.639 0.361 0.750
0.000 0.000 0.500
0.000 0.000 0.000
```



No. 4
PaFe3Cu4O12 | PBE with a Hubbard U | optimized geometry

Summary:
- final energy (Ry per atom) = -0.4625
- Fermi-level density of states (states/eV/cell) = 7.8
- M_tot (μB/cell) = 10.40

```
PaFe3Cu4O12
1.0
6.436 0.000 0.000
-2.145 6.068 0.000
-2.145 -3.034 5.255
O Pa Cu Fe
12 1 4 3
direct
0.826 0.533 0.707
0.533 0.707 0.826
0.174 0.467 0.293
0.707 0.826 0.533
0.119 0.293 0.826
0.467 0.293 0.174
0.707 0.174 0.881
0.174 0.881 0.707
0.826 0.119 0.293
0.293 0.174 0.467
0.293 0.826 0.119
0.881 0.707 0.174
0.000 0.000 0.000
0.500 0.500 0.500
0.500 0.000 0.000
0.000 0.500 0.000
0.000 0.000 0.500
0.500 0.500 0.000
0.000 0.500 0.500
0.500 0.000 0.500
```



No. 5
PaFe2CuO6 | PBE with a Hubbard U | optimized geometry

Summary:
- final energy (Ry per atom) = -0.5280
- M_tot (μB/cell) = 5.97

```
PaFe2CuO6
1.0
-0.880 5.483 -0.812
-4.888 1.901 -0.499
-2.180 3.555 4.187
O Fe Pa Cu
6 2 1 1
direct
0.658 0.227 0.262
0.385 0.713 0.752
0.908 0.612 0.252
0.705 0.125 0.774
0.242 0.907 0.256
0.131 0.401 0.710
0.004 0.016 0.953
0.513 0.538 0.437
0.809 0.808 0.572
0.306 0.316 0.048
```



No. 6
PaFe4Cu3O12 | PBE with a Hubbard U | optimized geometry

Summary:
- final energy (Ry per atom) = -0.4884
- Fermi-level density of states (states/eV/cell) = 8.7
- M_tot (μB/cell) = 17.96

```
PaFe4Cu3O12
1.0
-4.610 -2.473 -3.832
5.626 0.171 -3.221
0.643 -3.712 5.279
O Cu Fe Pa
12 3 4 1
direct
0.297 0.837 0.134
0.134 0.297 0.837
0.703 0.837 0.540
0.866 0.703 0.163
0.297 0.163 0.460
0.837 0.540 0.703
0.837 0.134 0.297
0.163 0.866 0.703
0.703 0.163 0.866
0.163 0.460 0.297
0.460 0.297 0.163
0.540 0.703 0.837
0.000 0.500 0.500
0.500 0.000 0.500
0.500 0.500 0.000
0.000 0.500 0.000
0.000 0.000 0.500
0.500 0.000 0.000
0.500 0.500 0.500
0.000 0.000 0.000
```



No. 7
FeCuPbO4 | PBE with a Hubbard U | optimized geometry

Summary:
- final energy (Ry per atom) = -0.4169
- Fermi-level density of states (states/eV/cell) = 5.6
- M_tot (μB/cell) = 8.92

```
FeCuPbO4
1.0
-0.774 -1.591 5.442
-0.023 -5.219 -4.538
5.924 2.977 1.713
O Fe Pb Cu
8 2 2 2
direct
0.386 0.243 0.872
0.614 0.757 0.128
0.858 0.243 0.872
0.260 0.519 0.689
0.740 0.481 0.311
0.740 0.481 0.670
0.142 0.757 0.128
0.260 0.519 0.330
0.766 0.533 0.016
0.234 0.467 0.984
0.500 0.000 0.500
0.500 0.000 0.000
0.000 0.500 0.500
0.500 0.500 0.500
```



No. 8
Sr2FeCuPb2O6 | PBE with a Hubbard U | optimized geometry

Summary:
- final energy (Ry per atom) = -0.4321
- M_tot (μB/cell) = 10.00
- polymorph energy (0 for the lowest one) (eV per formula unit) = 0.00

```
Sr2FeCuPb2O6
1.0
-4.477 -2.211 2.356
-2.177 -1.038 -5.112
5.424 -11.053 -0.066
Cu O Sr Pb Fe
2 12 4 4 2
direct
0.000 0.000 0.000
0.500 0.500 0.000
0.250 0.750 0.497
0.500 0.986 0.677
0.250 0.250 0.503
0.000 0.929 0.147
0.750 0.250 0.503
0.750 0.750 0.497
0.000 0.514 0.677
0.500 0.571 0.147
0.000 0.071 0.853
0.000 0.486 0.323
0.500 0.429 0.853
0.500 0.014 0.323
0.500 0.503 0.642
0.000 0.997 0.642
0.500 0.497 0.358
0.000 0.003 0.358
0.000 0.485 0.854
0.500 0.985 0.146
0.500 0.015 0.854
0.000 0.515 0.146
0.000 0.500 0.500
0.500 0.000 0.500
```



> Which value of M_tot does entry 8 give?

10.00 μB/cell



> The highest M_tot belongs to which entry?

PaFe4Cu3O12